1.
GGA-PBE As2IrCl, relaxed; symmetry = Cmmm; energy relative to the elements, uncorrected = 0.2587 eV/atom; E_tot = -4.743 eV per atom; ΔE to the lowest computed polymorph = 2.02 eV/f.u.
1.0
2.873 -0.021 0.000
-1.378 2.521 0.000
0.000 0.000 10.396
As Ir Cl
2 1 1
Cartesian
0.000 0.000 9.961
0.000 0.000 5.633
0.748 1.250 7.797
0.748 1.250 2.599

2.
GGA-PBE NaSr3Al, relaxed; symmetry = P2_1/c; E_form = 37 meV per atom; E_tot = -1.985 eV per atom; ΔE to the lowest computed polymorph = 0.00 eV/f.u.
1.0
7.792 0.000 0.000
0.000 11.392 -2.297
0.000 -0.849 9.481
Na Sr Al
4 12 4
Cartesian
0.186 8.033 0.994
7.607 2.511 6.190
4.082 8.207 5.041
3.711 2.337 2.142
6.458 5.963 7.322
1.334 4.580 -0.138
2.562 10.276 -1.287
5.230 0.267 8.471
4.051 7.386 0.644
3.741 3.157 6.540
0.155 8.853 5.391
7.637 1.690 1.793
5.910 5.139 3.240
1.882 5.404 3.943
2.014 -0.292 5.092
5.778 10.835 2.092
5.643 4.318 0.071
2.149 6.225 7.113
1.747 0.529 8.261
6.045 10.014 -1.078

3.
GGA-PBE TlZnCd2Pb, relaxed; symmetry = P4/mmm; E_form = 218 meV per atom; E_tot = -1.617 eV per atom
1.0
5.121 0.000 0.000
0.000 5.121 0.000
0.000 0.000 5.574
Pb Tl Zn Cd
1 1 1 2
Cartesian
0.000 0.000 2.787
2.561 2.561 2.787
0.000 0.000 0.000
0.000 2.561 0.000
2.561 0.000 0.000

4.
GGA-PBE ZnSi2Ge2Rh5, relaxed; symmetry = P4/mbm; energy relative to the elements, uncorrected = -0.4119 eV/atom; E_tot = -6.223 eV per atom
1.0
2.852 0.000 0.000
0.000 10.227 0.000
0.000 0.000 10.227
Zn Si Ge Rh
2 4 4 10
Cartesian
0.000 0.000 0.000
0.000 5.114 5.114
0.000 1.497 6.611
0.000 8.730 3.617
0.000 6.611 8.730
0.000 3.617 1.497
0.000 6.682 1.568
0.000 3.545 8.659
0.000 1.568 3.545
0.000 8.659 6.682
1.426 1.647 1.442
1.426 8.581 8.786
1.426 1.442 8.581
1.426 6.760 3.672
1.426 8.786 1.647
1.426 3.467 6.555
1.426 6.555 6.760
1.426 3.672 3.467
1.426 5.114 0.000
1.426 0.000 5.114

5.
GGA-PBE ZrSc2Co, relaxed; symmetry = P4/mmm; E_form = -159 meV per atom; E_tot = -7.238 eV per atom; ΔE to the lowest computed polymorph = 0.22 eV/f.u.
1.0
-1.379 0.815 2.739
2.730 -0.524 1.531
2.058 7.355 -1.152
Sc Co Zr
2 1 1
Cartesian
1.948 6.961 -1.090
1.139 4.071 -0.637
2.219 5.661 1.271
1.190 1.984 1.847

6.
GGA-PBE Ca4FeMo, relaxed; symmetry = F-43m; E_form = 1301 meV per atom; E_tot = -3.249 eV per atom
1.0
-0.984 -2.068 5.933
0.919 3.916 4.926
-4.976 2.143 3.330
Ca Fe Mo
4 1 1
Cartesian
-2.383 0.466 8.285
-4.375 2.567 6.986
-1.434 3.452 7.782
-1.892 1.498 5.325
-3.781 2.993 10.641
0.000 0.000 0.000